The following is a PBE-GGA calculation of a relaxed CsHoZnCl6 crystal, from Alexandria.

Summary:
Formation energy (no corrections) in eV per atom: -1.8487
Final energy in eV per atom: -3.82

a b c (Å): 6.747 6.747 7.795
angles (deg): 90.00 90.00 120.00
Positions (direct):
Cs: 0.000 0.000 0.000
Ho: 0.667 0.333 0.500
Zn: 0.333 0.667 0.500
Cl: 0.015 0.387 0.689
Cl: 0.015 0.628 0.311
Cl: 0.372 0.387 0.311
Cl: 0.372 0.985 0.689
Cl: 0.613 0.628 0.689
Cl: 0.613 0.985 0.311